1.
A relaxed LaCo2 crystal, computed with PBE.

Cell lengths 4.3032, 4.3032, 4.3032 Å; angles 60.00, 60.00, 60.00 degrees
Closest atoms and distances in Å follow each position.
Fractional coordinates of all 3 atoms:
La1 0.0000 0.0000 0.0000  8 Co 2.64
Co1 0.2500 0.2500 0.2500  4 La 2.64
Co2 0.7500 0.7500 0.7500  4 La 2.64

Summary:
* energy relative to the elements: 0.87 eV/atom
* calculated volume: 18.78 Å³/atom

2.
A relaxed CsAcTa2O7 crystal, computed with PBE.

Cell lengths 3.9500, 3.9500, 11.6651 Å; angles 90.00, 90.00, 90.00 degrees
Closest atoms and distances in Å follow each position.
Fractional coordinates of all 11 atoms:
Cs1 0.0000 0.0000 0.0000  8 O 3.27
Ac1 0.0000 0.0000 0.5000  12 O 2.77-2.79
Ta1 0.5000 0.5000 0.2992  1 O 1.80
Ta2 0.5000 0.5000 0.7008  1 O 1.80
O1 0.0000 0.5000 0.3341  2 Ta 2.02
O2 0.0000 0.5000 0.6659  2 Ta 2.02
O3 0.5000 0.0000 0.3341  2 Ta 2.02
O4 0.5000 0.0000 0.6659  2 Ta 2.02
O5 0.5000 0.5000 0.1450  1 Ta 1.80
O6 0.5000 0.5000 0.5000  2 Ta 2.34
O7 0.5000 0.5000 0.8550  1 Ta 1.80

Summary:
* formation energy from raw total energies: -2.96 eV/atom
* calculated volume: 16.55 Å³/atom

3.
A relaxed KBa3Co crystal, computed with PBE.

Cell lengths 6.7498, 6.7498, 6.7498 Å; angles 90.00, 90.00, 90.00 degrees
Closest atoms and distances in Å follow each position.
Fractional coordinates of all 5 atoms:
K1 0.0000 0.0000 0.0000  6 Ba 3.37
Ba1 0.0000 0.0000 0.5000  2 K 3.37
Ba2 0.0000 0.5000 0.0000  2 K 3.37
Ba3 0.5000 0.0000 0.0000  2 K 3.37
Co1 0.5000 0.5000 0.5000  12 Ba 4.77

Summary:
* energy relative to the elements: 1.32 eV/atom
* energy above the lowest structure with this stoichiometry: 1065 meV/atom
* calculated volume: 61.51 Å³/atom

4.
A relaxed KCaSi2 crystal, computed with PBE.

Cell lengths 7.3198, 7.3198, 7.3198 Å; angles 149.78, 142.49, 48.90 degrees
Closest atoms and distances in Å follow each position.
Fractional coordinates of all 4 atoms:
K1 0.0000 0.0000 0.0000  4 Si 3.42, 2 K 3.82
Ca1 0.2637 0.7637 0.5000  6 Si 3.04-3.07
Si1 0.6192 0.6192 0.0000  2 Si 2.40
Si2 0.7283 0.2283 0.5000  2 Si 2.40

Summary:
* formation energy from raw total energies: -0.13 eV/atom
* energy above the lowest structure with this stoichiometry: 38 meV/atom
* calculated volume: 29.92 Å³/atom

5.
A relaxed Tb2Pm5Ho3 crystal, computed with PBE.

Cell lengths 9.2023, 9.2023, 9.9459 Å; angles 108.23, 108.23, 108.83 degrees
Closest atoms and distances in Å follow each position.
Fractional coordinates of all 20 atoms:
Tb1 0.0230 0.2793 0.0553  3 Ho 3.26-3.48, 4 Pm 3.38-3.53
Tb2 0.2793 0.0230 0.5553  3 Ho 3.26-3.48, 4 Pm 3.38-3.53
Tb3 0.7207 0.9770 0.4447  3 Ho 3.26-3.48, 4 Pm 3.38-3.53
Tb4 0.9770 0.7207 0.9447  3 Ho 3.26-3.48, 4 Pm 3.38-3.53
Pm1 0.0192 0.9808 0.7500  3 Pm 3.12-3.48, 2 Tb 3.38
Pm2 0.1240 0.3837 0.7581  3 Pm 3.42-3.51, 3 Ho 3.43-3.74, 2 Tb 3.67-3.74
Pm3 0.2277 0.7723 0.7500  3 Pm 3.12-3.42, 4 Ho 3.37-3.48, 2 Tb 3.46
Pm4 0.3837 0.1240 0.2581  3 Pm 3.42-3.51, 3 Ho 3.43-3.74, 2 Tb 3.67-3.74
Pm5 0.4788 0.5212 0.2500  3 Ho 3.07-3.37
Pm6 0.5212 0.4788 0.7500  3 Ho 3.07-3.37
Pm7 0.6163 0.8760 0.7419  3 Pm 3.42-3.51, 3 Ho 3.43-3.74, 2 Tb 3.67-3.74
Pm8 0.7723 0.2277 0.2500  3 Pm 3.12-3.42, 4 Ho 3.37-3.48, 2 Tb 3.46
Pm9 0.8760 0.6163 0.2419  3 Pm 3.42-3.51, 3 Ho 3.43-3.74, 2 Tb 3.67-3.74
Pm10 0.9808 0.0192 0.2500  3 Pm 3.12-3.48, 2 Tb 3.38
Ho1 0.2204 0.4715 0.4445  1 Tb 3.26, 5 Pm 3.37-3.51, 1 Ho 3.49
Ho2 0.2737 0.7263 0.2500  3 Pm 3.07-3.43, 2 Tb 3.36
Ho3 0.4715 0.2204 0.9445  1 Tb 3.26, 5 Pm 3.37-3.51, 1 Ho 3.49
Ho4 0.5285 0.7796 0.0555  1 Tb 3.26, 5 Pm 3.37-3.51, 1 Ho 3.49
Ho5 0.7263 0.2737 0.7500  3 Pm 3.07-3.43, 2 Tb 3.36
Ho6 0.7796 0.5285 0.5555  1 Tb 3.26, 5 Pm 3.37-3.51, 1 Ho 3.49

Summary:
* energy relative to the elements: 0.19 eV/atom
* calculated volume: 33.61 Å³/atom

6.
A relaxed HoSi2RuPt crystal, computed with PBE.

Cell lengths 5.7746, 5.7746, 5.7746 Å; angles 138.63, 138.63, 59.94 degrees
Closest atoms and distances in Å follow each position.
Fractional coordinates of all 5 atoms:
Ho1 0.0000 0.0000 0.0000  8 Si 3.12, 4 Pt 3.23, 4 Ru 3.23
Si1 0.3800 0.3800 0.0000  1 Si 2.40, 2 Ru 2.42, 2 Pt 2.42
Si2 0.6200 0.6200 0.0000  1 Si 2.40, 2 Ru 2.42, 2 Pt 2.42
Ru1 0.2500 0.7500 0.5000  4 Si 2.42
Pt1 0.7500 0.2500 0.5000  4 Si 2.42

Summary:
* formation energy from raw total energies: -1.02 eV/atom
* calculated volume: 16.65 Å³/atom

7.
A relaxed NiBiS3 crystal, computed with PBE.

Cell lengths 4.5032, 4.5032, 4.5032 Å; angles 90.00, 90.00, 90.00 degrees
Closest atoms and distances in Å follow each position.
Fractional coordinates of all 5 atoms:
Ni1 0.0000 0.0000 0.0000  6 S 2.25
Bi1 0.5000 0.5000 0.5000  12 S 3.18
S1 0.0000 0.0000 0.5000  2 Ni 2.25
S2 0.0000 0.5000 0.0000  2 Ni 2.25
S3 0.5000 0.0000 0.0000  2 Ni 2.25

Summary:
* formation energy from raw total energies: 0.07 eV/atom
* energy above the lowest structure with this stoichiometry: 0 meV/atom
* calculated volume: 18.26 Å³/atom

8.
A relaxed ScCd5 crystal, computed with PBE.

Cell lengths 3.2746, 3.2746, 12.3301 Å; angles 90.00, 90.00, 90.00 degrees
Closest atoms and distances in Å follow each position.
Fractional coordinates of all 6 atoms:
Sc1 0.0000 0.0000 0.0000  8 Cd 3.10, 4 Sc 3.27
Cd1 0.0000 0.0000 0.3323  12 Cd 3.09-3.27
Cd2 0.0000 0.0000 0.6677  12 Cd 3.09-3.27
Cd3 0.5000 0.5000 0.1667  8 Cd 3.09-3.27, 4 Sc 3.10
Cd4 0.5000 0.5000 0.5000  12 Cd 3.10-3.27
Cd5 0.5000 0.5000 0.8333  8 Cd 3.09-3.27, 4 Sc 3.10

Summary:
* energy relative to the elements: -0.10 eV/atom
* calculated volume: 22.04 Å³/atom